# 1
Compound: MnRe2Te
Source: Alexandria
Functional: PBE-GGA
Structure: optimized geometry

Results
As for the uncorrected formation energy: 2.1 eV per formula unit.

```
MnRe2Te
1.0
4.5330 -1.5286 0.0000
4.5330 1.5286 0.0000
-0.7203 0.0000 4.6941
Mn Re Te
1 2 1
Cartesian
0.0000 0.0000 0.0000 Mn
1.8944 0.0000 3.6985 Re
6.4514 0.0000 0.9956 Re
4.1729 0.0000 2.3470 Te
```



# 2
Compound: Mn2ReTe
Source: Alexandria
Functional: PBE-GGA
Structure: optimized geometry

Results
As for the uncorrected formation energy: 1.7 eV per formula unit.

```
Mn2ReTe
1.0
3.3241 0.0000 0.0000
0.0000 3.3377 0.0000
0.0000 0.0000 5.7394
Mn Re Te
2 1 1
Cartesian
0.0000 0.0000 1.3132 Mn
0.0000 0.0000 4.4262 Mn
1.6621 1.6688 0.0000 Re
1.6621 1.6688 2.8697 Te
```



# 3
Compound: Mn2ReTe
Source: Alexandria
Functional: PBE-GGA
Structure: optimized geometry

Results
As for the uncorrected formation energy: 2.1 eV per formula unit.

```
Mn2ReTe
1.0
1.5170 0.8759 8.4059
-1.5170 0.8759 8.4059
0.0000 -1.7517 8.4059
Mn Re Te
2 1 1
Cartesian
0.0000 0.0000 6.1443 Mn
0.0000 0.0000 19.0735 Mn
0.0000 0.0000 12.6089 Re
0.0000 0.0000 0.0000 Te
```



# 4
Compound: MnRe2Te
Source: Alexandria
Functional: PBE-GGA
Structure: optimized geometry

Results
As for the uncorrected formation energy: 4.9 eV per formula unit.

```
MnRe2Te
1.0
-2.7478 2.7478 5.8363
2.7478 -2.7478 5.8363
2.7478 2.7478 -5.8363
Mn Re Te
2 4 2
Cartesian
0.0000 0.0000 0.0000 Mn
0.0000 2.7478 2.9181 Mn
4.1217 1.0509 -1.4591 Re
1.0509 1.3739 1.4591 Re
-1.3739 1.6969 4.3772 Re
1.6969 1.3739 7.2953 Re
2.7478 0.0000 2.9181 Te
0.0000 0.0000 5.8363 Te
```



# 5
Compound: MnRe2Te
Source: Alexandria
Functional: PBE-GGA
Structure: optimized geometry

Results
As for the uncorrected formation energy: 3.3 eV per formula unit.

```
MnRe2Te
1.0
1.5779 -2.2917 0.0000
1.5779 2.2917 0.0000
0.0000 0.0000 9.3075
Mn Re Te
1 2 1
Cartesian
0.0000 0.0000 0.0000 Mn
1.5779 0.0000 1.9600 Re
1.5779 0.0000 7.3475 Re
0.0000 0.0000 4.6537 Te
```



# 6
Compound: MnRe2Te
Source: Alexandria
Functional: PBE-GGA
Structure: optimized geometry

Results
As for the uncorrected formation energy: 2.5 eV per formula unit.

```
MnRe2Te
1.0
-1.5803 2.2282 4.4311
1.5803 -2.2282 4.4311
1.5803 2.2282 -4.4311
Mn Re Te
1 2 1
Cartesian
0.0000 0.0000 0.0000 Mn
1.5803 0.0000 2.2404 Re
0.0000 0.0000 4.5870 Re
0.0000 2.2282 2.3600 Te
```



# 7
Compound: Mn3ReTe
Source: Alexandria
Functional: PBE-GGA
Structure: optimized geometry

Results
As for the uncorrected formation energy: 5.5 eV per formula unit.

```
Mn3ReTe
1.0
4.7130 0.0000 0.0000
0.0000 4.7130 0.0000
0.0000 0.0000 4.7130
Mn Re Te
3 1 1
Cartesian
0.0000 0.0000 2.3565 Mn
0.0000 2.3565 0.0000 Mn
2.3565 0.0000 0.0000 Mn
0.0000 0.0000 0.0000 Re
2.3565 2.3565 2.3565 Te
```



# 8
Compound: MnRe2Te
Source: Alexandria
Functional: PBE-GGA
Structure: optimized geometry

Results
As for the uncorrected formation energy: 2.6 eV per formula unit.

```
MnRe2Te
1.0
-1.9724 1.9724 4.0571
1.9724 -1.9724 4.0571
1.9724 1.9724 -4.0571
Mn Re Te
1 2 1
Cartesian
0.0000 0.0000 0.0000 Mn
1.9724 0.0000 2.0285 Re
0.0000 0.0000 4.0571 Re
0.0000 1.9724 2.0285 Te
```



# 9
Compound: Mn2ReTe
Source: Alexandria
Functional: PBE-GGA
Structure: optimized geometry

Results
As for the uncorrected formation energy: 2.5 eV per formula unit.

```
Mn2ReTe
1.0
4.3915 0.0000 0.0000
0.0000 4.3915 0.0000
0.0000 0.0000 3.0036
Mn Re Te
2 1 1
Cartesian
0.0000 2.1957 0.0000 Mn
2.1957 0.0000 0.0000 Mn
0.0000 0.0000 1.5018 Re
2.1957 2.1957 1.5018 Te
```



# 10
Compound: Mn2ReTe
Source: Alexandria
Functional: PBE-GGA
Structure: optimized geometry

Results
As for the uncorrected formation energy: 1.9 eV per formula unit.

```
Mn2ReTe
1.0
3.9264 0.0000 0.0000
0.0000 3.9264 0.0000
0.0000 0.0000 3.9667
Mn Re Te
2 1 1
Cartesian
0.0000 1.9632 0.0000 Mn
1.9632 0.0000 0.0000 Mn
0.0000 0.0000 1.9834 Re
1.9632 1.9632 1.9834 Te
```



# 11
Compound: MnRe2Te
Source: Alexandria
Functional: PBE-GGA
Structure: optimized geometry

Results
As for the uncorrected formation energy: 2.9 eV per formula unit.

```
MnRe2Te
1.0
1.6304 -2.3471 0.0000
1.6304 2.3471 0.0000
0.0000 0.0000 9.0633
Mn Re Te
1 2 1
Cartesian
0.0000 0.0000 0.0000 Mn
0.0000 0.0000 5.0815 Re
1.6304 0.0000 7.0748 Re
1.6304 0.0000 2.3811 Te
```



# 12
Compound: MnRe2Te
Source: Alexandria
Functional: PBE-GGA
Structure: optimized geometry

Results
As for the uncorrected formation energy: 2.8 eV per formula unit.

```
MnRe2Te
1.0
-1.5807 2.1952 4.6578
1.5807 -2.1952 4.6578
1.5807 2.1952 -4.6578
Mn Re Te
1 2 1
Cartesian
0.0000 0.0000 0.0000 Mn
1.5807 0.0000 2.4110 Re
0.0000 2.1952 2.2468 Re
0.0000 0.0000 4.6578 Te
```



# 13
Compound: MnRe3Te
Source: Alexandria
Functional: PBE-GGA
Structure: optimized geometry

Results
As for the uncorrected formation energy: 7.9 eV per formula unit.

```
MnRe3Te
1.0
4.5046 0.0000 0.0000
0.0000 4.5046 0.0000
0.0000 0.0000 4.5046
Mn Re Te
1 3 1
Cartesian
0.0000 0.0000 0.0000 Mn
0.0000 0.0000 2.2523 Re
0.0000 2.2523 0.0000 Re
2.2523 0.0000 0.0000 Re
2.2523 2.2523 2.2523 Te
```



# 14
Compound: Mn2ReTe
Source: Alexandria
Functional: PBE-GGA
Structure: optimized geometry

Results
As for the uncorrected formation energy: 1.8 eV per formula unit.

```
Mn2ReTe
1.0
2.6595 -3.7905 0.0000
2.6595 3.7905 0.0000
0.0000 0.0000 3.1212
Mn Re Te
2 1 1
Cartesian
1.3297 1.8953 0.0000 Mn
1.3297 -1.8953 0.0000 Mn
0.0000 0.0000 1.5606 Re
2.6595 0.0000 1.5606 Te
```



# 15
Compound: Mn2ReTe
Source: Alexandria
Functional: PBE-GGA
Structure: optimized geometry

Results
As for the uncorrected formation energy: 1.8 eV per formula unit.

```
Mn2ReTe
1.0
0.0000 3.0867 3.0867
3.0867 0.0000 3.0867
3.0867 3.0867 0.0000
Mn Re Te
2 1 1
Cartesian
0.0000 0.0000 0.0000 Mn
1.5434 1.5434 1.5434 Mn
3.0867 3.0867 3.0867 Re
4.6301 4.6301 4.6301 Te
```